Version A
ScTa2Al2 | PBE | relaxed

Output
Total moment   0.00 μB/f.u.
Calculated density   8.5 Mg/m³

Cell lengths 7.412, 7.412, 3.281 Å; angles 90.00, 90.00, 90.00 degrees
Space group P4/mbm (No. 127)
Asymmetric unit:
Sc (0.000, 0.000, 0.000) (multiplicity 2)
Ta (0.174, 0.326, 0.500) (multiplicity 4)
Al (0.122, 0.622, 0.000) (multiplicity 4)



Version B
ScTa2Al2 | PBE | relaxed

Output
Total moment   0.39 μB/f.u.
Calculated density   8.2 Mg/m³

Cell lengths 8.118, 8.118, 2.844 Å; angles 90.00, 90.00, 90.00 degrees
Space group P4/mbm (No. 127)
Asymmetric unit:
Sc (0.000, 0.000, 0.000) (multiplicity 2)
Ta (0.117, 0.383, 0.000) (multiplicity 4)
Al (0.178, 0.678, 0.500) (multiplicity 4)



Most favorable structure: version A. The second most favorable one is 9.7 kJ/mol of atoms above it.



Version A
ScTaAl3 | PBE | relaxed

Output
Total moment   0.00 μB/f.u.
Calculated density   5.3 Mg/m³

Cell lengths 3.816, 3.816, 13.188 Å; angles 90.00, 90.00, 90.00 degrees
Space group I4mm (No. 107)
Asymmetric unit:
Sc (0.000, 0.000, 0.000) (multiplicity 2)
Ta (0.000, 0.000, 0.619) (multiplicity 2)
Al (0.000, 0.000, 0.416) (multiplicity 2)
Al (0.000, 0.500, 0.267) (multiplicity 4)



Version B
ScTaAl3 | PBE | relaxed

Output
Total moment   0.00 μB/f.u.
Calculated density   4.3 Mg/m³

Cell lengths 4.926, 4.926, 4.926 Å; angles 90.00, 90.00, 90.00 degrees
Space group Pm-3m (No. 221)
Asymmetric unit:
Sc (0.000, 0.000, 0.000) (multiplicity 1)
Ta (0.500, 0.500, 0.500) (multiplicity 1)
Al (0.000, 0.500, 0.500) (multiplicity 3)



Most favorable structure: version A. The second most favorable one is 48.3 kJ/mol of atoms above it.



Version A
TbScAl2 | PBE | relaxed

Output
Total moment   0.00 μB/f.u.
Calculated density   5.0 Mg/m³

Cell lengths 7.003, 7.003, 7.003 Å; angles 90.00, 90.00, 90.00 degrees
Space group Fm-3m (No. 225)
Asymmetric unit:
Tb (0.000, 0.000, 0.000) (multiplicity 4)
Sc (0.000, 0.000, 0.500) (multiplicity 4)
Al (0.250, 0.250, 0.250) (multiplicity 8)



Version B
TbScAl2 | PBE | relaxed

Output
Total moment   0.00 μB/f.u.
Calculated density   5.0 Mg/m³

Cell lengths 4.569, 4.569, 4.137 Å; angles 90.00, 90.00, 90.00 degrees
Space group P4/mmm (No. 123)
Asymmetric unit:
Tb (0.000, 0.000, 0.000) (multiplicity 1)
Sc (0.500, 0.500, 0.000) (multiplicity 1)
Al (0.000, 0.500, 0.500) (multiplicity 2)



Version C
TbScAl2 | PBE | relaxed

Output
Total moment   0.00 μB/f.u.
Calculated density   4.6 Mg/m³

Cell lengths 3.4186, 3.4186, 27.5737 Å; angles 90.00, 90.00, 120.00 degrees
Space group R-3m (No. 166, hexagonal axes)
Asymmetric unit:
Tb (0.0000, 0.0000, 0.0000) (multiplicity 3)
Sc (0.0000, 0.0000, 0.5000) (multiplicity 3)
Al (0.0000, 0.0000, 0.2459) (multiplicity 6)



Most favorable structure: version A. The second most favorable one is 1.8 kJ/mol of atoms above it.



Version A
TbSc2Al | PBE | relaxed

Output
Total moment   0.01 μB/f.u.
Calculated density   4.9 Mg/m³

Cell lengths 4.535, 4.535, 4.571 Å; angles 90.00, 90.00, 90.00 degrees
Space group P4/mmm (No. 123)
Asymmetric unit:
Tb (0.000, 0.000, 0.000) (multiplicity 1)
Sc (0.000, 0.500, 0.500) (multiplicity 2)
Al (0.500, 0.500, 0.000) (multiplicity 1)



Version B
TbSc2Al | PBE | relaxed

Output
Total moment   1.19 μB/f.u.
Calculated density   4.9 Mg/m³

Cell lengths 7.209, 7.209, 7.209 Å; angles 90.00, 90.00, 90.00 degrees
Space group Fm-3m (No. 225)
Asymmetric unit:
Tb (0.000, 0.000, 0.000) (multiplicity 4)
Sc (0.250, 0.250, 0.250) (multiplicity 8)
Al (0.000, 0.000, 0.500) (multiplicity 4)



Version C
TbSc2Al | PBE | relaxed

Output
Total moment   0.00 μB/f.u.
Calculated density   4.7 Mg/m³

Cell lengths 3.521, 5.159, 10.656 Å; angles 90.00, 90.00, 90.00 degrees
Space group Immm (No. 71)
Asymmetric unit:
Tb (0.000, 0.000, 0.000) (multiplicity 2)
Sc (0.000, 0.500, 0.219) (multiplicity 4)
Al (0.000, 0.000, 0.500) (multiplicity 2)



Most favorable structure: version C. The second most favorable one is 0.7 kJ/mol of atoms above it.



Version A
TbSc2Al | PBE | relaxed

Output
Total moment   0.00 μB/f.u.
Calculated density   4.8 Mg/m³

Cell lengths 3.334, 3.334, 8.542 Å; angles 90.00, 90.00, 90.00 degrees
Space group P4/mmm (No. 123)
Asymmetric unit:
Tb (0.000, 0.000, 0.000) (multiplicity 1)
Sc (0.500, 0.500, 0.289) (multiplicity 2)
Al (0.000, 0.000, 0.500) (multiplicity 1)



Version B
TbSc2Al | PBE | relaxed

Output
Total moment   0.40 μB/f.u.
Calculated density   4.7 Mg/m³

Cell lengths 3.3533, 3.3533, 30.2329 Å; angles 90.00, 90.00, 120.00 degrees
Space group R3m (No. 160, hexagonal axes)
Asymmetric unit:
Tb (0.0000, 0.0000, 0.0000) (multiplicity 3)
Sc (0.0000, 0.0000, 0.5722) (multiplicity 3)
Sc (0.0000, 0.0000, 0.7593) (multiplicity 3)
Al (0.0000, 0.0000, 0.1655) (multiplicity 3)



Most favorable structure: version A. The second most favorable one is 13.7 kJ/mol of atoms above it.



Version A
TbScAl | PBE | relaxed

Output
Total moment   0.00 μB/f.u.
Calculated density   5.3 Mg/m³

Cell lengths 3.591, 5.115, 8.061 Å; angles 90.00, 102.86, 90.00 degrees
Space group P2_1/m (No. 11)
Asymmetric unit:
Tb (0.079, 0.250, 0.157) (multiplicity 2)
Sc (0.232, 0.750, 0.465) (multiplicity 2)
Al (0.412, 0.250, 0.824) (multiplicity 2)



Version B
TbScAl | PBE | relaxed

Output
Total moment   0.00 μB/f.u.
Calculated density   5.3 Mg/m³

Cell lengths 3.320, 3.320, 13.039 Å; angles 90.00, 90.00, 90.00 degrees
Space group I4mm (No. 107)
Asymmetric unit:
Tb (0.000, 0.000, 0.000) (multiplicity 2)
Sc (0.000, 0.000, 0.698) (multiplicity 2)
Al (0.000, 0.000, 0.338) (multiplicity 2)



Version C
TbScAl | PBE | relaxed

Output
Total moment   0.00 μB/f.u.
Calculated density   5.7 Mg/m³

Cell lengths 5.0432, 5.0432, 3.0672 Å; angles 90.00, 90.00, 120.00 degrees
Space group P3m1 (No. 156)
Asymmetric unit:
Tb (0.0000, 0.0000, 0.0000) (multiplicity 1)
Sc (0.6667, 0.3333, 0.0060) (multiplicity 1)
Al (0.3333, 0.6667, 0.5021) (multiplicity 1)



Version D
TbScAl | PBE | relaxed

Output
Total moment   0.00 μB/f.u.
Calculated density   5.2 Mg/m³

Cell lengths 3.259, 3.259, 27.634 Å; angles 90.00, 90.00, 90.00 degrees
Space group I4/mmm (No. 139)
Asymmetric unit:
Tb (0.000, 0.000, 0.064) (multiplicity 4)
Sc (0.000, 0.000, 0.207) (multiplicity 4)
Al (0.000, 0.000, 0.362) (multiplicity 4)



Most favorable structure: version A. The second most favorable one is 2.8 kJ/mol of atoms above it.



Version A
Tb4ScAl2 | PBE | relaxed

Output
Total moment   0.00 μB/f.u.
Calculated density   6.5 Mg/m³

Cell lengths 5.1596, 5.1596, 24.3275 Å; angles 90.00, 90.00, 120.00 degrees
Space group R-3m (No. 166, hexagonal axes)
Asymmetric unit:
Tb (0.0000, 0.0000, 0.1042) (multiplicity 6)
Tb (0.0000, 0.0000, 0.3647) (multiplicity 6)
Sc (0.0000, 0.0000, 0.5000) (multiplicity 3)
Al (0.0000, 0.0000, 0.2344) (multiplicity 6)



Version B
Tb4ScAl2 | PBE | relaxed

Output
Total moment   1.70 μB/f.u.
Calculated density   5.9 Mg/m³

Cell lengths 5.3131, 5.3131, 25.5312 Å; angles 90.00, 90.00, 120.00 degrees
Space group R-3m (No. 166, hexagonal axes)
Asymmetric unit:
Tb (0.0000, 0.0000, 0.1253) (multiplicity 6)
Tb (0.0000, 0.0000, 0.2751) (multiplicity 6)
Sc (0.0000, 0.0000, 0.5000) (multiplicity 3)
Al (0.0000, 0.0000, 0.3936) (multiplicity 6)



Most favorable structure: version A. The second most favorable one is 25.5 kJ/mol of atoms above it.



Version A
Tb3ScAl8 | PBE | relaxed

Output
Total moment   0.00 μB/f.u.
Calculated density   5.1 Mg/m³

Cell lengths 5.5174, 5.5174, 9.0587 Å; angles 90.00, 90.00, 120.00 degrees
Space group P3m1 (No. 156)
Asymmetric unit:
Tb (0.0000, 0.0000, 0.0000) (multiplicity 1)
Tb (0.0000, 0.0000, 0.3658) (multiplicity 1)
Tb (0.3333, 0.6667, 0.8614) (multiplicity 1)
Sc (0.3333, 0.6667, 0.4992) (multiplicity 1)
Al (0.0094, 0.5047, 0.1840) (multiplicity 3)
Al (0.3245, 0.1622, 0.6772) (multiplicity 3)
Al (0.6667, 0.3333, 0.4319) (multiplicity 1)
Al (0.6667, 0.3333, 0.9290) (multiplicity 1)



Version B
Tb3ScAl8 | PBE | relaxed

Output
Total moment   0.00 μB/f.u.
Calculated density   5.1 Mg/m³

Cell lengths 5.5173, 5.5173, 27.1846 Å; angles 90.00, 90.00, 120.00 degrees
Space group R3m (No. 160, hexagonal axes)
Asymmetric unit:
Tb (0.0000, 0.0000, 0.0000) (multiplicity 3)
Tb (0.0000, 0.0000, 0.1256) (multiplicity 3)
Tb (0.0000, 0.0000, 0.6237) (multiplicity 3)
Sc (0.0000, 0.0000, 0.5005) (multiplicity 3)
Al (0.0000, 0.0000, 0.3122) (multiplicity 3)
Al (0.0000, 0.0000, 0.8127) (multiplicity 3)
Al (0.9996, 0.4998, 0.5614) (multiplicity 9)
Al (0.0007, 0.5004, 0.0634) (multiplicity 9)



Most favorable structure: version B. The second most favorable one is 0.8 kJ/mol of atoms above it.